# 1
{
  "formula": "CaZnRe2Pt",
  "functional": "GGA-PBE",
  "state": "relaxed",
  "lattice": [[4.870, 0.000, 0.000], [0.000, 4.870, 0.000], [0.000, 0.000, 4.777]],
  "species": ["Ca", "Zn", "Re", "Re", "Pt"],
  "frac_coords": [[0.000, 0.000, 0.000], [0.500, 0.500, 0.000], [0.000, 0.500, 0.500], [0.500, 0.000, 0.500], [0.500, 0.500, 0.500]],
  "formation_energy_ev_per_atom": 1.215,
  "vol_a3_per_cell": 113.28,
  "space_group": "P4/mmm",
  "crystal_system": "tetragonal"
}

=====

# 2
{
  "formula": "BaAcGaSi",
  "functional": "GGA-PBE",
  "state": "relaxed",
  "lattice": [[0.000, 3.958, 3.958], [3.958, 0.000, 3.958], [3.958, 3.958, 0.000]],
  "species": ["Ba", "Ac", "Ga", "Si"],
  "frac_coords": [[0.000, 0.000, 0.000], [0.500, 0.500, 0.500], [0.750, 0.750, 0.750], [0.250, 0.250, 0.250]],
  "e_form_raw_mev_per_atom": -249,
  "vol_a3_per_cell": 124.03,
  "space_group": "F-43m",
  "crystal_system": "cubic"
}

=====

# 3
{
  "formula": "NaInTe2",
  "functional": "GGA-PBE",
  "state": "relaxed",
  "lattice": [[-4.211, 4.211, 3.641], [4.211, -4.211, 3.641], [4.211, 4.211, -3.641]],
  "species": ["Na", "Na", "In", "In", "Te", "Te", "Te", "Te"],
  "frac_coords": [[0.250, 0.250, 0.000], [0.750, 0.750, 0.000], [0.250, 0.750, 0.500], [0.750, 0.250, 0.500], [0.185, 0.685, 0.869], [0.315, 0.185, 0.500], [0.685, 0.815, 0.500], [0.815, 0.315, 0.131]],
  "e_form_raw_mev_per_atom": -574,
  "vol_a3_per_cell": 258.20,
  "space_group": "I4/mcm",
  "crystal_system": "tetragonal"
}

=====

# 4
{
  "formula": "AsAuN2O",
  "functional": "GGA-PBE",
  "state": "relaxed",
  "lattice": [[4.072, 0.000, 0.000], [0.000, 4.072, 0.000], [0.000, 0.000, 4.017]],
  "species": ["As", "Au", "N", "N", "O"],
  "frac_coords": [[0.000, 0.000, 0.000], [0.500, 0.500, 0.500], [0.000, 0.500, 0.500], [0.500, 0.000, 0.500], [0.500, 0.500, 0.000]],
  "e_form_raw_mev_per_atom": 1778,
  "vol_a3_per_cell": 66.62,
  "space_group": "P4/mmm",
  "crystal_system": "tetragonal"
}

=====

# 5
{
  "formula": "K2CuW",
  "functional": "GGA-PBE",
  "state": "relaxed",
  "lattice": [[2.758, 0.000, 0.000], [0.000, 4.066, 0.000], [-0.034, 0.000, 10.460]],
  "species": ["K", "K", "Cu", "W"],
  "frac_coords": [[0.000, 0.000, 0.000], [0.481, 0.500, 0.417], [0.981, 0.000, 0.656], [0.482, 0.500, 0.738]],
  "formation_energy_ev_per_atom": 0.959,
  "vol_a3_per_cell": 117.31,
  "space_group": "Pm",
  "crystal_system": "monoclinic"
}

=====

# 6
{
  "formula": "TcPIr",
  "functional": "GGA-PBE",
  "state": "relaxed",
  "lattice": [[6.195, -1.436, 0.000], [6.195, 1.436, 0.000], [-0.055, 0.000, 4.702]],
  "species": ["Tc", "Tc", "P", "P", "Ir", "Ir"],
  "frac_coords": [[0.000, 0.000, 0.000], [0.203, 0.203, 0.770], [0.347, 0.347, 0.089], [0.528, 0.528, 0.609], [0.660, 0.660, 0.271], [0.867, 0.867, 0.497]],
  "formation_energy_ev_per_atom": -0.317,
  "vol_a3_per_cell": 83.63,
  "space_group": "Cm",
  "crystal_system": "monoclinic"
}

=====

# 7
{
  "formula": "ZnGaCo2Ni",
  "functional": "GGA-PBE",
  "state": "relaxed",
  "lattice": [[4.340, 0.000, 0.000], [0.000, 4.340, 0.000], [0.000, 0.000, 4.409]],
  "species": ["Zn", "Ga", "Co", "Co", "Ni"],
  "frac_coords": [[0.000, 0.000, 0.000], [0.000, 0.000, 0.500], [0.000, 0.500, 0.000], [0.500, 0.000, 0.000], [0.500, 0.500, 0.500]],
  "formation_energy_ev_per_atom": 1.193,
  "vol_a3_per_cell": 83.03,
  "space_group": "P4/mmm",
  "crystal_system": "tetragonal"
}

=====

# 8
{
  "formula": "Gd6CoBr10",
  "functional": "GGA-PBE",
  "state": "relaxed",
  "lattice": [[7.433, 0.000, 0.000], [-2.393, 8.891, 0.000], [-1.080, -3.236, 8.651]],
  "species": ["Gd", "Gd", "Gd", "Gd", "Gd", "Gd", "Co", "Br", "Br", "Br", "Br", "Br", "Br", "Br", "Br", "Br", "Br"],
  "frac_coords": [[0.035, 0.213, 0.412], [0.125, 0.548, 0.258], [0.357, 0.633, 0.678], [0.643, 0.367, 0.322], [0.875, 0.452, 0.742], [0.965, 0.787, 0.588], [0.000, 0.500, 0.500], [0.087, 0.872, 0.327], [0.221, 0.247, 0.156], [0.248, 0.583, 0.956], [0.341, 0.951, 0.773], [0.454, 0.320, 0.585], [0.546, 0.680, 0.415], [0.659, 0.049, 0.227], [0.752, 0.417, 0.044], [0.779, 0.753, 0.844], [0.913, 0.128, 0.673]],
  "e_form_raw_mev_per_atom": -1579,
  "vol_a3_per_cell": 571.71,
  "space_group": "P-1",
  "crystal_system": "triclinic"
}

=====

# 9
{
  "formula": "NpAlB",
  "functional": "GGA-PBE",
  "state": "relaxed",
  "lattice": [[0.000, 3.706, 4.547], [2.403, 0.000, 4.547], [2.403, 3.706, 0.000]],
  "species": ["Np", "Np", "Al", "Al", "B", "B"],
  "frac_coords": [[0.169, 0.831, 0.169], [0.831, 0.169, 0.831], [0.318, 0.318, 0.682], [0.682, 0.682, 0.318], [0.250, 0.250, 0.250], [0.750, 0.750, 0.750]],
  "formation_energy_ev_per_atom": 0.105,
  "vol_a3_per_cell": 81.02,
  "space_group": "Fmmm",
  "crystal_system": "orthorhombic"
}

=====

# 10
{
  "formula": "La2ReAu",
  "functional": "GGA-PBE",
  "state": "relaxed",
  "lattice": [[2.079, 1.200, 7.582], [-2.079, 1.200, 7.582], [0.000, -2.400, 7.582]],
  "species": ["La", "La", "Re", "Au"],
  "frac_coords": [[0.240, 0.240, 0.240], [0.760, 0.760, 0.760], [0.500, 0.500, 0.500], [0.000, 0.000, 0.000]],
  "formation_energy_ev_per_atom": 0.116,
  "vol_a3_per_cell": 113.50,
  "space_group": "R-3m",
  "crystal_system": "trigonal"
}

=====

# 11
{
  "formula": "GaSi3Te",
  "functional": "GGA-PBE",
  "state": "relaxed",
  "lattice": [[4.830, 0.000, 0.000], [0.000, 4.830, 0.000], [0.000, 0.000, 4.830]],
  "species": ["Ga", "Si", "Si", "Si", "Te"],
  "frac_coords": [[0.000, 0.000, 0.000], [0.000, 0.000, 0.500], [0.000, 0.500, 0.000], [0.500, 0.000, 0.000], [0.500, 0.500, 0.500]],
  "e_form_raw_mev_per_atom": 851,
  "vol_a3_per_cell": 112.68,
  "space_group": "Pm-3m",
  "crystal_system": "cubic"
}

=====

# 12
{
  "formula": "PrBeAl2Pd4",
  "functional": "GGA-PBE",
  "state": "relaxed",
  "lattice": [[2.122, 1.225, 8.698], [-2.122, 1.225, 8.698], [0.000, -2.450, 8.698]],
  "species": ["Pr", "Be", "Al", "Al", "Pd", "Pd", "Pd", "Pd"],
  "frac_coords": [[0.000, 0.000, 0.000], [0.500, 0.500, 0.500], [0.235, 0.235, 0.235], [0.765, 0.765, 0.765], [0.136, 0.136, 0.136], [0.409, 0.409, 0.409], [0.591, 0.591, 0.591], [0.864, 0.864, 0.864]],
  "formation_energy_ev_per_atom": -0.780,
  "vol_a3_per_cell": 135.64,
  "space_group": "R-3m",
  "crystal_system": "trigonal"
}

=====

# 13
{
  "formula": "BiPt2Au2",
  "functional": "GGA-PBE",
  "state": "relaxed",
  "lattice": [[-1.946, 1.946, 6.752], [1.946, -1.946, 6.752], [1.946, 1.946, -6.752]],
  "species": ["Bi", "Pt", "Pt", "Au", "Au"],
  "frac_coords": [[0.000, 0.000, 0.000], [0.250, 0.750, 0.500], [0.750, 0.250, 0.500], [0.397, 0.397, 0.000], [0.603, 0.603, 0.000]],
  "formation_energy_ev_per_atom": 0.123,
  "vol_a3_per_cell": 102.31,
  "space_group": "I4/mmm",
  "crystal_system": "tetragonal"
}

=====

# 14
{
  "formula": "La2Nd5Tm12",
  "functional": "GGA-PBE",
  "state": "relaxed",
  "lattice": [[7.823, -4.646, 0.000], [7.823, 4.646, 0.000], [-0.313, 0.000, 8.608]],
  "species": ["La", "La", "Nd", "Nd", "Nd", "Nd", "Nd", "Tm", "Tm", "Tm", "Tm", "Tm", "Tm", "Tm", "Tm", "Tm", "Tm", "Tm", "Tm"],
  "frac_coords": [[0.181, 0.819, 0.000], [0.819, 0.181, 0.000], [0.204, 0.204, 0.013], [0.269, 0.269, 0.427], [0.500, 0.500, 0.500], [0.731, 0.731, 0.573], [0.796, 0.796, 0.987], [0.057, 0.057, 0.333], [0.060, 0.683, 0.343], [0.172, 0.527, 0.755], [0.317, 0.940, 0.657], [0.418, 0.418, 0.122], [0.473, 0.828, 0.245], [0.527, 0.172, 0.755], [0.582, 0.582, 0.878], [0.683, 0.060, 0.343], [0.828, 0.473, 0.245], [0.940, 0.317, 0.657], [0.943, 0.943, 0.667]],
  "formation_energy_ev_per_atom": 0.133,
  "vol_a3_per_cell": 625.65,
  "space_group": "C2/m",
  "crystal_system": "monoclinic"
}

=====

# 15
{
  "formula": "Ba2HoPbO6",
  "functional": "GGA-PBE",
  "state": "relaxed",
  "lattice": [[0.000, 4.377, 4.377], [4.377, 0.000, 4.377], [4.377, 4.377, 0.000]],
  "species": ["Ba", "Ba", "Ho", "Pb", "O", "O", "O", "O", "O", "O"],
  "frac_coords": [[0.250, 0.250, 0.250], [0.750, 0.750, 0.750], [0.000, 0.000, 0.000], [0.500, 0.500, 0.500], [0.252, 0.252, 0.748], [0.252, 0.748, 0.252], [0.252, 0.748, 0.748], [0.748, 0.252, 0.252], [0.748, 0.252, 0.748], [0.748, 0.748, 0.252]],
  "e_form_raw_mev_per_atom": -2232,
  "vol_a3_per_cell": 167.76,
  "space_group": "Fm-3m",
  "crystal_system": "cubic"
}

=====

# 16
{
  "formula": "AcTeRhO5",
  "functional": "GGA-PBE",
  "state": "relaxed",
  "lattice": [[3.878, -4.473, 0.000], [3.878, 4.473, 0.000], [-3.154, 0.000, 7.125]],
  "species": ["Ac", "Ac", "Te", "Te", "Rh", "Rh", "O", "O", "O", "O", "O", "O", "O", "O", "O", "O"],
  "frac_coords": [[0.066, 0.934, 0.750], [0.934, 0.066, 0.250], [0.484, 0.516, 0.750], [0.516, 0.484, 0.250], [0.000, 0.500, 0.000], [0.500, 0.000, 0.500], [0.184, 0.241, 0.070], [0.201, 0.799, 0.250], [0.241, 0.184, 0.570], [0.272, 0.622, 0.896], [0.378, 0.728, 0.604], [0.622, 0.272, 0.396], [0.728, 0.378, 0.104], [0.759, 0.816, 0.430], [0.799, 0.201, 0.750], [0.816, 0.759, 0.930]],
  "e_form_raw_mev_per_atom": -1559,
  "vol_a3_per_cell": 247.22,
  "space_group": "C2/c",
  "crystal_system": "monoclinic"
}

=====

# 17
{
  "formula": "Pr2UPaN5",
  "functional": "GGA-PBE",
  "state": "relaxed",
  "lattice": [[4.112, 0.000, 0.000], [0.000, 4.112, 0.000], [0.000, 0.000, 8.948]],
  "species": ["Pr", "Pr", "U", "Pa", "N", "N", "N", "N", "N"],
  "frac_coords": [[0.000, 0.000, 0.231], [0.000, 0.000, 0.769], [0.500, 0.500, 0.000], [0.500, 0.500, 0.500], [0.000, 0.000, 0.500], [0.000, 0.500, 0.000], [0.500, 0.000, 0.000], [0.500, 0.500, 0.267], [0.500, 0.500, 0.733]],
  "e_form_raw_mev_per_atom": -1214,
  "vol_a3_per_cell": 151.29,
  "space_group": "P4/mmm",
  "crystal_system": "tetragonal"
}

=====

# 18
{
  "formula": "Sm4Hg2C",
  "functional": "GGA-PBE",
  "state": "relaxed",
  "lattice": [[-2.531, 2.531, 7.528], [2.531, -2.531, 7.528], [2.531, 2.531, -7.528]],
  "species": ["Sm", "Sm", "Sm", "Sm", "Hg", "Hg", "C"],
  "frac_coords": [[0.000, 0.500, 0.500], [0.167, 0.167, 0.000], [0.500, 0.000, 0.500], [0.833, 0.833, 0.000], [0.370, 0.370, 0.000], [0.630, 0.630, 0.000], [0.000, 0.000, 0.000]],
  "formation_energy_ev_per_atom": -0.292,
  "vol_a3_per_cell": 192.92,
  "space_group": "I4/mmm",
  "crystal_system": "tetragonal"
}

=====

# 19
{
  "formula": "YAlN3",
  "functional": "GGA-PBE",
  "state": "relaxed",
  "lattice": [[4.426, 0.000, 0.000], [0.000, 4.426, 0.000], [0.000, 0.000, 4.426]],
  "species": ["Y", "Al", "N", "N", "N"],
  "frac_coords": [[0.000, 0.000, 0.000], [0.500, 0.500, 0.500], [0.000, 0.000, 0.500], [0.000, 0.500, 0.000], [0.500, 0.000, 0.000]],
  "e_form_raw_mev_per_atom": 1365,
  "vol_a3_per_cell": 86.71,
  "space_group": "Pm-3m",
  "crystal_system": "cubic"
}

=====

# 20
{
  "formula": "Ba3LiIr",
  "functional": "GGA-PBE",
  "state": "relaxed",
  "lattice": [[6.178, 0.000, 0.000], [0.000, 6.178, 0.000], [0.000, 0.000, 6.178]],
  "species": ["Ba", "Ba", "Ba", "Li", "Ir"],
  "frac_coords": [[0.000, 0.000, 0.500], [0.000, 0.500, 0.000], [0.500, 0.000, 0.000], [0.500, 0.500, 0.500], [0.000, 0.000, 0.000]],
  "formation_energy_ev_per_atom": -0.046,
  "vol_a3_per_cell": 235.82,
  "space_group": "Pm-3m",
  "crystal_system": "cubic"
}

=====

Number 1: uncorrected energy -5.6276 eV per atom. Number 2: uncorrected energy -3.8690 eV per atom. Number 3: uncorrected energy -3.1594 eV per atom. Number 4: uncorrected energy -4.1295 eV per atom. Number 5: uncorrected energy -3.8518 eV per atom. Number 6: uncorrected energy -8.5291 eV per atom. Number 7: uncorrected energy -3.6658 eV per atom. Number 8: uncorrected energy -7.9509 eV per atom. Number 9: uncorrected energy -7.6815 eV per atom. Number 10: uncorrected energy -6.2793 eV per atom. Number 11: uncorrected energy -3.6366 eV per atom. Number 12: uncorrected energy -5.3756 eV per atom. Number 13: uncorrected energy -4.3807 eV per atom. Number 14: uncorrected energy -4.4648 eV per atom. Number 15: uncorrected energy -6.4198 eV per atom. Number 16: uncorrected energy -6.4834 eV per atom. Number 17: uncorrected energy -9.2103 eV per atom. Number 18: uncorrected energy -4.3923 eV per atom. Number 19: uncorrected energy -5.6712 eV per atom. Number 20: uncorrected energy -3.3542 eV per atom.